Computed, not measured: Ti2CoCuCl after structural relaxation at the PBEsol level of DFT.

a b c (Å): 4.239 4.655 4.655
angles (deg): 90.00 90.00 90.00
Fractional positions:
Co 0.500 0.500 0.500
Ti 0.000 0.500 0.000
Ti 0.000 0.000 0.500
Cu 0.000 0.000 0.000
Cl 0.500 0.000 0.000

The total moment is 0.5 μB/f.u. The uncorrected formation energy is 1.203 eV per atom. As for the volume: 92 Å³/f.u. As for the space-group type: P4/mmm, No. 123. Its final energy is -4.94 eV/atom.